! PBE Na2SmCuO4, optimized geometry; values from VASP
&SYSTEM
  ibrav = 0, nat = 8, ntyp = 4
/
ATOMIC_SPECIES
O 16.00 O.upf
Na 22.99 Na.upf
Sm 150.36 Sm.upf
Cu 63.55 Cu.upf
CELL_PARAMETERS angstrom
5.1286 0.1239 0.1899
-2.0731 4.6925 -0.1899
-2.0731 -2.0623 4.2193
ATOMIC_POSITIONS angstrom
O -1.8474 -0.2022 3.0455
O 2.9887 2.8556 1.0193
O 1.5866 0.6735 1.3849
O -0.7632 2.1816 2.9890
Na 0.4912 3.0658 1.0074
Na 0.0000 0.0000 0.0000
Sm 0.4912 -0.3116 3.2120
Cu -2.0731 1.3151 2.0147
! Final energy ... -45.2 eV for the cell shown